(1)
Compound: Dy2GaNi2
Source: OQMD
Functional: PBE
Structure: relaxed

* total energy: -5.253 eV per atom
* SG: No. 71

a = 5.333 Å, b = 5.333 Å, c = 5.333 Å
α = 133.92°, β = 119.76°, γ = 79.05°
Element x y z (fractional)
Dy 0.702 0.202 0.500
Dy 0.298 0.798 0.500
Ga 0.000 0.000 0.000
Ni 0.732 0.500 0.232
Ni 0.268 0.500 0.768


(2)
Compound: Dy2Ga2NiPd3
Source: OQMD
Functional: PBE
Structure: relaxed

* total energy: -5.345 eV per atom
* SG: No. 156

a = 4.348 Å, b = 4.348 Å, c = 8.986 Å
α = 90.00°, β = 90.00°, γ = 120.00°
Element x y z (fractional)
Dy 0.667 0.333 0.245
Dy 0.333 0.667 0.757
Ga 0.000 0.000 0.501
Ga 0.000 0.000 0.990
Ni 0.667 0.333 0.926
Pd 0.333 0.667 0.077
Pd 0.333 0.667 0.419
Pd 0.667 0.333 0.587